No. 1
YHo2Er3As6: relaxed, PBE.

Calculated values
The total magnetization comes out at 0.00 μB per cell. The space group is C2/m (12). As for the density of states at the Fermi level: 0.1526 states/eV per atom. Its energy is -6.296 eV per atom.

POSCAR file:
```
YHo2Er3As6
1.0
8.923 -2.048 0.000
8.923 2.048 0.000
-1.874 0.000 7.971
Y Ho Er As
1 2 3 6
direct
0.000 0.000 0.000 Y
0.333 0.333 0.667 Ho
0.667 0.667 0.333 Ho
0.000 0.000 0.500 Er
0.333 0.333 0.167 Er
0.667 0.667 0.833 Er
0.166 0.166 0.584 As
0.167 0.167 0.083 As
0.500 0.500 0.252 As
0.500 0.500 0.748 As
0.833 0.833 0.917 As
0.834 0.834 0.416 As
```

=====

No. 2
Y2HoErAs4: relaxed, PBE.

Calculated values
The total magnetization comes out at 0.00 μB per cell. The space group is P2/m (10). As for the density of states at the Fermi level: 0.1293 states/eV per atom. Its energy is -6.624 eV per atom.

POSCAR file:
```
Y2HoErAs4
1.0
7.113 0.000 0.000
0.000 4.109 0.000
-2.370 0.000 6.707
Y Ho Er As
2 1 1 4
direct
0.000 0.000 0.000 Y
0.000 0.500 0.500 Y
0.500 0.000 0.500 Ho
0.500 0.500 0.000 Er
0.252 0.500 0.250 As
0.253 0.000 0.751 As
0.747 0.000 0.249 As
0.748 0.500 0.750 As
```

=====

No. 3
Y3HoEr2As6: relaxed, PBE.

Calculated values
The total magnetization comes out at 0.00 μB per cell. The space group is C2/m (12). As for the density of states at the Fermi level: 0.1554 states/eV per atom. Its energy is -6.622 eV per atom.

POSCAR file:
```
Y3HoEr2As6
1.0
3.556 -6.158 0.000
3.556 6.158 0.000
-2.367 0.000 6.706
Y Ho Er As
3 1 2 6
direct
0.000 0.000 0.000 Y
0.333 0.667 0.000 Y
0.667 0.333 0.000 Y
0.500 0.500 0.500 Ho
0.167 0.833 0.500 Er
0.833 0.167 0.500 Er
0.084 0.418 0.253 As
0.249 0.249 0.747 As
0.418 0.084 0.253 As
0.582 0.916 0.747 As
0.751 0.751 0.253 As
0.916 0.582 0.747 As
```

=====

No. 4
Y3Ho2ErAs6: relaxed, PBE.

Calculated values
The total magnetization comes out at 0.00 μB per cell. The space group is C2/m (12). As for the density of states at the Fermi level: 0.1544 states/eV per atom. Its energy is -6.625 eV per atom.

POSCAR file:
```
Y3Ho2ErAs6
1.0
3.559 -6.163 0.000
3.559 6.163 0.000
-2.369 0.000 6.709
Y Ho Er As
3 2 1 6
direct
0.000 0.000 0.000 Y
0.333 0.667 0.000 Y
0.667 0.333 0.000 Y
0.167 0.833 0.500 Ho
0.833 0.167 0.500 Ho
0.500 0.500 0.500 Er
0.085 0.417 0.252 As
0.250 0.250 0.748 As
0.417 0.085 0.252 As
0.583 0.915 0.748 As
0.750 0.750 0.252 As
0.915 0.583 0.748 As
```

=====

No. 5
HoErZr2As4: relaxed, PBE.

Calculated values
The total magnetization comes out at 0.00 μB per cell. The space group is P2/m (10). As for the density of states at the Fermi level: 0.5379 states/eV per atom. Its energy is -6.916 eV per atom.

POSCAR file:
```
HoErZr2As4
1.0
6.849 0.000 0.000
0.000 3.950 0.000
-2.290 0.000 6.547
Ho Er Zr As
1 1 2 4
direct
0.000 0.000 0.000 Ho
0.500 0.500 0.000 Er
0.000 0.500 0.500 Zr
0.500 0.000 0.500 Zr
0.247 0.000 0.739 As
0.254 0.500 0.261 As
0.746 0.500 0.739 As
0.753 0.000 0.261 As
```

=====

No. 6
Er4AsI5: relaxed, PBE.

Calculated values
The total magnetization comes out at 0.00 μB per cell. The space group is C2/m (12). As for the density of states at the Fermi level: 0.3362 states/eV per atom. The uncorrected formation energy comes out at -1.21 eV per atom. Its energy is -4.272 eV per atom.

POSCAR file:
```
Er4AsI5
1.0
9.457 -2.072 0.000
9.457 2.072 0.000
-1.900 0.000 8.477
Er As I
4 1 5
direct
0.000 0.000 0.209 Er
0.000 0.000 0.791 Er
0.355 0.355 0.927 Er
0.645 0.645 0.073 Er
0.500 0.500 0.000 As
0.165 0.165 0.336 I
0.171 0.171 0.828 I
0.500 0.500 0.500 I
0.829 0.829 0.172 I
0.835 0.835 0.664 I
```